{
  "formula": "Sr2CeYCu2RuO10",
  "functional": "GGA-PBE",
  "state": "optimized geometry",
  "lattice_angstrom": [[-14.607, 1.471, 2.225], [-14.141, -3.946, 2.219], [14.786, 1.270, 0.465]],
  "species": ["Sr", "Sr", "Ce", "Y", "Cu", "Cu", "Ru", "O", "O", "O", "O", "O", "O", "O", "O", "O", "O"],
  "frac_coords": [[0.418, 0.418, 0.000], [0.578, 0.578, 0.000], [0.707, 0.707, 0.000], [0.295, 0.295, 0.000], [0.855, 0.855, 0.000], [0.144, 0.144, 0.000], [0.000, 0.000, 0.000], [0.931, 0.931, 0.000], [0.070, 0.070, 0.000], [0.848, 0.348, 0.500], [0.348, 0.848, 0.500], [0.153, 0.653, 0.500], [0.653, 0.153, 0.500], [0.750, 0.250, 0.500], [0.250, 0.750, 0.500], [0.001, 0.501, 0.500], [0.501, 0.001, 0.500]],
  "e_tot_ev_per_atom": -7.01,
  "e_form_raw_ev_per_atom": -2.13
}